PBE Sr2HF, relaxed; offset from the most stable computed form = 12.45 kcal/mol of atoms; volume = 91 Å³ per cell; space group = No. 225
1.0
0.483 -1.152 4.899
-0.431 3.620 3.503
-4.043 0.113 3.034
H Sr F
1 2 1
direct
0.000 0.000 0.000
0.250 0.250 0.250
0.750 0.750 0.750
0.500 0.500 0.500



PBE SrH2F4, relaxed; total energy = -4.8535 eV per atom; volume = 175 Å³ per cell; space group = No. 15
1.0
5.778 -2.008 -0.117
-2.419 5.619 0.117
-1.574 -1.904 6.329
H F Sr
4 8 2
direct
0.125 0.375 0.750
0.625 0.375 0.750
0.625 0.375 0.250
0.625 0.875 0.250
0.861 0.129 0.284
0.405 0.173 0.784
0.379 0.612 0.784
0.422 0.155 0.284
0.871 0.138 0.716
0.845 0.578 0.716
0.388 0.621 0.216
0.828 0.595 0.216
0.250 0.750 0.500
0.000 0.000 0.000



PBE Sr2H2F, relaxed; total energy = -3.6126 eV per atom; volume = 180 Å³ per cell; space group = No. 127
1.0
-1.822 -1.135 6.666
3.102 -6.275 -0.221
3.145 1.516 1.118
Sr H F
4 4 2
direct
0.818 0.682 0.000
0.182 0.318 0.000
0.682 0.182 0.000
0.318 0.818 0.000
0.368 0.132 0.500
0.632 0.868 0.500
0.132 0.632 0.500
0.868 0.368 0.500
0.000 0.000 0.000
0.500 0.500 0.000



PBE SrHF4, relaxed; offset from the most stable computed form = 0.00 kcal/mol of atoms; volume = 181 Å³ per cell; space group = No. 11
1.0
0.048 -4.526 3.466
-0.876 2.213 -6.586
7.801 -0.959 -1.360
H F Sr
2 8 2
direct
0.868 0.862 0.250
0.132 0.138 0.750
0.932 0.329 0.561
0.540 0.713 0.250
0.932 0.329 0.939
0.068 0.671 0.439
0.460 0.287 0.750
0.068 0.671 0.061
0.206 0.053 0.250
0.794 0.947 0.750
0.770 0.205 0.250
0.230 0.795 0.750



PBE Sr3H2F8, relaxed; total energy = -5.0741 eV per atom; volume = 166 Å³ per cell; space group = No. 166
1.0
-1.431 -4.971 1.745
2.803 -4.384 -1.651
4.420 -2.486 5.081
Sr F H
3 8 2
direct
0.203 0.203 0.390
0.000 0.000 0.000
0.797 0.797 0.610
0.263 0.263 0.696
0.263 0.777 0.696
0.223 0.737 0.304
0.333 0.333 0.002
0.737 0.223 0.304
0.667 0.667 0.998
0.777 0.263 0.696
0.737 0.737 0.304
0.616 0.616 0.153
0.384 0.384 0.847



PBE SrH2F6, relaxed; total energy = -4.2238 eV per atom; volume = 274 Å³ per cell; space group = No. 15
1.0
2.580 -12.888 2.970
3.491 -4.777 -2.888
3.328 -3.038 4.801
Sr F H
2 12 4
direct
0.750 0.901 0.099
0.250 0.099 0.901
0.261 0.162 0.229
0.739 0.838 0.771
0.556 0.337 0.936
0.106 0.379 0.699
0.944 0.064 0.663
0.894 0.621 0.301
0.444 0.663 0.064
0.394 0.301 0.621
0.239 0.771 0.838
0.056 0.936 0.337
0.606 0.699 0.379
0.761 0.229 0.162
0.187 0.263 0.454
0.313 0.546 0.737
0.813 0.737 0.546
0.687 0.454 0.263